[1]
## Nd12Sm7Tm (PBE)

Data for a relaxed structure of Nd12Sm7Tm.

Cell and atoms, written as extended XYZ:
```
20
Lattice="6.164 3.559 5.341 -6.164 3.559 5.341 0.000 -7.118 5.341" Properties=species:S:1:pos:R:3 pbc="T T T"
Nd -2.180 -4.987 6.715
Nd -5.409 -0.605 9.308
Nd -3.256 0.972 7.130
Nd -2.470 -2.334 8.893
Nd 0.786 -3.306 7.130
Nd -3.228 4.381 6.715
Nd 3.228 -4.381 9.308
Nd -0.786 3.306 8.893
Nd 2.470 2.334 7.130
Nd 3.256 -0.972 8.893
Nd 5.409 0.605 6.715
Nd 2.180 4.987 9.308
Sm 0.000 0.000 0.000
Sm -1.503 -1.401 4.739
Sm -0.462 2.002 4.739
Sm 1.965 -0.601 4.739
Sm -1.965 0.601 11.284
Sm 0.462 -2.002 11.284
Sm 1.503 1.401 11.284
Tm 0.000 0.000 8.012
```

Results
* M_tot: 0.000 μB/f.u.
* total energy: -4.51 eV/atom
* energy of formation from the pure elements: 222 meV per atom

---

[2]
## K2TiHPt (PBE)

Data for a relaxed structure of K2TiHPt.

Cell and atoms, written as extended XYZ:
```
5
Lattice="4.550 0.000 0.000 0.000 4.550 0.000 0.000 0.000 4.985" Properties=species:S:1:pos:R:3 pbc="T T T"
K 0.000 2.275 0.000
K 2.275 0.000 0.000
Ti 0.000 0.000 2.492
H 0.000 0.000 0.000
Pt 2.275 2.275 2.492
```

Results
* M_tot: 2.448 μB/f.u.
* energy relative to the lowest polymorph listed for this composition: 0.00 kJ per mole of atoms
* total energy: -3.42 eV/atom

---

[3]
## HfCrCd3 (PBE)

Data for a relaxed structure of HfCrCd3.

Cell and atoms, written as extended XYZ:
```
5
Lattice="4.893 0.000 0.000 0.000 4.893 0.000 0.000 0.000 4.893" Properties=species:S:1:pos:R:3 pbc="T T T"
Hf 0.000 0.000 0.000
Cr 2.447 2.447 2.447
Cd 0.000 2.447 2.447
Cd 2.447 0.000 2.447
Cd 2.447 2.447 0.000
```

Results
* M_tot: 0.001 μB/f.u.
* energy relative to the lowest polymorph listed for this composition: 0.00 kJ per mole of atoms
* total energy: -3.32 eV/atom
* energy of formation from the pure elements: 1149 meV per atom

---

[4]
## LiCa2Br (PBE)

Data for a relaxed structure of LiCa2Br.

Cell and atoms, written as extended XYZ:
```
4
Lattice="-1.960 3.235 5.462 1.960 -3.235 5.462 1.960 3.235 -5.462" Properties=species:S:1:pos:R:3 pbc="T T T"
Li 0.000 0.000 0.000
Ca 1.960 0.000 3.182
Ca 0.000 3.235 2.279
Br 0.000 0.000 5.462
```

Results
* M_tot: 0.000 μB/f.u.
* energy relative to the lowest polymorph listed for this composition: 9.99 kJ per mole of atoms
* total energy: -2.43 eV/atom

---

[5]
## POsI3 (PBE)

Data for a relaxed structure of POsI3.

Cell and atoms, written as extended XYZ:
```
5
Lattice="5.325 0.000 0.000 0.000 5.325 0.000 0.000 0.000 5.325" Properties=species:S:1:pos:R:3 pbc="T T T"
P 0.000 0.000 0.000
Os 2.663 2.663 2.663
I 0.000 2.663 2.663
I 2.663 0.000 2.663
I 2.663 2.663 0.000
```

Results
* M_tot: 0.000 μB/f.u.
* energy relative to the lowest polymorph listed for this composition: 0.00 kJ per mole of atoms
* total energy: -3.09 eV/atom

---

[6]
## SrZrSe2 (PBE)

Data for a relaxed structure of SrZrSe2.

Cell and atoms, written as extended XYZ:
```
4
Lattice="-1.860 1.894 7.105 1.860 -1.894 7.105 1.860 1.894 -7.105" Properties=species:S:1:pos:R:3 pbc="T T T"
Sr 0.000 0.000 0.000
Zr 1.860 0.000 3.607
Se 0.000 0.000 5.614
Se 0.000 1.894 2.515
```

Results
* M_tot: 0.131 μB/f.u.
* energy relative to the lowest polymorph listed for this composition: 11.01 kJ per mole of atoms
* total energy: -5.67 eV/atom

---

[7]
## ZrCrTe2 (PBE)

Data for a relaxed structure of ZrCrTe2.

Cell and atoms, written as extended XYZ:
```
4
Lattice="3.679 0.000 0.000 0.000 3.651 0.000 -1.386 0.000 6.966" Properties=species:S:1:pos:R:3 pbc="T T T"
Zr 0.000 0.000 0.000
Cr -0.693 0.000 3.483
Te 0.382 1.825 5.289
Te 1.911 1.825 1.677
```

Results
* M_tot: 3.961 μB/f.u.
* energy relative to the lowest polymorph listed for this composition: 13.98 kJ per mole of atoms
* total energy: -6.39 eV/atom

---

[8]
## Be2Tl2HgI6 (PBE)

Data for a relaxed structure of Be2Tl2HgI6.

Cell and atoms, written as extended XYZ:
```
11
Lattice="8.111 0.000 0.000 1.792 8.225 0.000 1.156 4.016 7.577" Properties=species:S:1:pos:R:3 pbc="T T T"
Be 1.626 4.622 1.961
Be 9.432 7.620 5.616
Tl 2.673 2.882 5.362
Tl 8.386 9.360 2.215
Hg 4.055 0.000 0.000
I 1.917 6.041 7.222
I 2.935 8.128 4.013
I 3.815 3.940 2.231
I 7.244 8.301 5.346
I 8.123 4.113 3.564
I 9.142 6.200 0.355
```

Results
* M_tot: 0.000 μB/f.u.
* total energy: -2.47 eV/atom

---

[9]
## LiNd6Y (PBE)

Data for a relaxed structure of LiNd6Y.

Cell and atoms, written as extended XYZ:
```
8
Lattice="-2.583 2.583 10.009 2.583 -2.583 10.009 2.583 2.583 -10.009" Properties=species:S:1:pos:R:3 pbc="T T T"
Li 0.000 0.000 0.000
Nd 2.583 0.000 2.428
Nd 0.000 0.000 5.043
Nd 2.583 0.000 7.582
Nd 0.000 2.583 2.428
Nd 0.000 0.000 14.975
Nd 0.000 2.583 7.582
Y 0.000 0.000 10.009
```

Results
* M_tot: 0.000 μB/f.u.
* total energy: -4.54 eV/atom
* energy of formation from the pure elements: 87 meV per atom

---

[10]
## PmYTcAg (PBE)

Data for a relaxed structure of PmYTcAg.

Cell and atoms, written as extended XYZ:
```
4
Lattice="0.000 3.565 3.565 3.565 0.000 3.565 3.565 3.565 0.000" Properties=species:S:1:pos:R:3 pbc="T T T"
Pm 0.000 0.000 0.000
Y 3.565 3.565 3.565
Tc 1.783 1.783 1.783
Ag 5.348 5.348 5.348
```

Results
* M_tot: 0.000 μB/f.u.
* total energy: -6.16 eV/atom
* energy of formation from the pure elements: -51 meV per atom

---

[11]
## V2Ir9Os (PBE)

Data for a relaxed structure of V2Ir9Os.

Cell and atoms, written as extended XYZ:
```
12
Lattice="3.847 0.000 0.000 0.000 3.847 0.000 0.000 0.000 11.560" Properties=species:S:1:pos:R:3 pbc="T T T"
V 0.000 0.000 1.892
V 0.000 0.000 9.668
Ir 0.000 1.924 0.000
Ir 0.000 1.924 3.839
Ir 0.000 1.924 7.721
Ir 1.924 0.000 0.000
Ir 1.924 0.000 3.839
Ir 1.924 0.000 7.721
Ir 1.924 1.924 1.926
Ir 1.924 1.924 5.780
Ir 1.924 1.924 9.634
Os 0.000 0.000 5.780
```

Results
* M_tot: 0.000 μB/f.u.
* total energy: -9.40 eV/atom
* energy of formation from the pure elements: -295 meV per atom

---

[12]
## Hg4BiBr2 (PBE)

Data for a relaxed structure of Hg4BiBr2.

Cell and atoms, written as extended XYZ:
```
7
Lattice="-2.938 2.938 7.720 2.938 -2.938 7.720 2.938 2.938 -7.720" Properties=species:S:1:pos:R:3 pbc="T T T"
Hg 2.938 0.000 0.000
Hg 0.000 0.000 3.001
Hg 0.000 2.938 0.000
Hg 0.000 0.000 12.439
Bi 0.000 0.000 0.000
Br 0.000 0.000 5.795
Br 0.000 0.000 9.645
```

Results
* M_tot: 0.000 μB/f.u.
* total energy: -1.36 eV/atom

---

[13]
## ZrRhSe2 (PBE)

Data for a relaxed structure of ZrRhSe2.

Cell and atoms, written as extended XYZ:
```
4
Lattice="2.028 1.171 5.449 -2.028 1.171 5.449 0.000 -2.342 5.449" Properties=species:S:1:pos:R:3 pbc="T T T"
Zr 0.000 0.000 0.000
Rh 0.000 0.000 8.174
Se 0.000 0.000 3.980
Se 0.000 0.000 12.367
```

Results
* M_tot: 0.626 μB/f.u.
* energy relative to the lowest polymorph listed for this composition: 32.68 kJ per mole of atoms
* total energy: -6.24 eV/atom

---

[14]
## SrSm6S8 (PBE)

Data for a relaxed structure of SrSm6S8.

Cell and atoms, written as extended XYZ:
```
15
Lattice="5.942 3.431 4.124 -5.942 3.431 4.124 0.000 -6.861 4.124" Properties=species:S:1:pos:R:3 pbc="T T T"
Sr 0.000 0.000 0.000
Sm -1.028 -1.976 4.587
Sm -1.197 1.878 4.587
Sm -2.225 -0.098 7.784
Sm 2.225 0.098 4.587
Sm 1.197 -1.878 7.784
Sm 1.028 1.976 7.784
S -3.059 -0.107 5.144
S 0.000 0.000 2.912
S -1.437 -2.702 7.228
S 1.622 -2.596 5.144
S -1.622 2.596 7.228
S 1.437 2.702 5.144
S 0.000 0.000 9.459
S 3.059 0.107 7.228
```

Results
* M_tot: 0.000 μB/f.u.
* total energy: -5.95 eV/atom

---

[15]
## Si8C (PBE)

Data for a relaxed structure of Si8C.

Cell and atoms, written as extended XYZ:
```
9
Lattice="-4.070 4.070 1.847 4.070 -4.070 1.847 4.070 4.070 -1.847" Properties=species:S:1:pos:R:3 pbc="T T T"
Si 2.658 0.000 0.000
Si 5.481 0.000 0.000
Si 0.000 2.658 0.000
Si 2.801 2.801 0.000
Si 1.269 -1.269 1.847
Si -1.269 1.269 1.847
Si 1.269 1.269 1.847
Si 0.000 5.481 0.000
C 0.000 0.000 0.000
```

Results
* M_tot: 0.000 μB/f.u.
* total energy: -4.92 eV/atom

---

[16]
## Tb2SmPd2 (PBE)

Data for a relaxed structure of Tb2SmPd2.

Cell and atoms, written as extended XYZ:
```
10
Lattice="7.923 0.000 0.000 0.000 7.923 0.000 0.000 0.000 3.915" Properties=species:S:1:pos:R:3 pbc="T T T"
Tb 1.310 2.651 0.000
Tb 2.651 6.613 0.000
Tb 5.272 1.310 0.000
Tb 6.613 5.272 0.000
Sm 0.000 0.000 1.957
Sm 3.962 3.962 1.957
Pd 1.025 4.987 1.957
Pd 2.936 1.025 1.957
Pd 4.987 6.898 1.957
Pd 6.898 2.936 1.957
```

Results
* M_tot: 0.000 μB/f.u.
* energy relative to the lowest polymorph listed for this composition: 0.00 kJ per mole of atoms
* total energy: -5.57 eV/atom
* energy of formation from the pure elements: -695 meV per atom

---

[17]
## LiLaAl2 (PBE)

Data for a relaxed structure of LiLaAl2.

Cell and atoms, written as extended XYZ:
```
4
Lattice="3.421 0.000 0.000 0.000 3.421 0.000 0.000 0.000 7.341" Properties=species:S:1:pos:R:3 pbc="T T T"
Li 0.000 0.000 0.000
La 0.000 0.000 3.670
Al 1.711 1.711 1.393
Al 1.711 1.711 5.948
```

Results
* M_tot: 0.000 μB/f.u.
* energy relative to the lowest polymorph listed for this composition: 3.63 kJ per mole of atoms
* total energy: -3.81 eV/atom
* energy of formation from the pure elements: -227 meV per atom